Record 1
{
  "formula": "Ir5Ru2Rh5",
  "functional": "PBE",
  "state": "optimized geometry",
  "vol_a3_per_cell": 171.1,
  "total_energy_ev_per_atom": -8.325,
  "lattice": [[3.734, 0.000, 0.918], [1.622, 5.689, 1.458], [-0.023, 0.525, 8.147]],
  "species": ["Ir", "Ir", "Ir", "Ir", "Ir", "Rh", "Rh", "Rh", "Rh", "Rh", "Ru", "Ru"],
  "fractional_positions": [[0.419, 0.911, 0.250], [0.581, 0.089, 0.750], [0.332, 0.337, 0.999], [0.668, 0.663, 0.001], [0.500, 0.500, 0.500], [0.748, 0.253, 0.251], [0.836, 0.829, 0.499], [0.164, 0.171, 0.501], [0.252, 0.747, 0.749], [0.000, 0.000, 0.000], [0.083, 0.587, 0.248], [0.917, 0.413, 0.752]]
}

=====

Record 2
{
  "formula": "Ir6Ru5Rh",
  "functional": "PBE",
  "state": "optimized geometry",
  "relative_energy_mev_per_atom": 0.0,
  "vol_a3_per_cell": 170.8,
  "lattice": [[3.647, -0.018, 1.215], [0.035, 7.701, 0.012], [0.000, -0.009, 6.080]],
  "species": ["Ir", "Ir", "Ir", "Ir", "Ir", "Ir", "Ru", "Ru", "Ru", "Ru", "Ru", "Rh"],
  "fractional_positions": [[0.167, 0.749, 0.666], [0.833, 0.251, 0.334], [0.167, 0.251, 0.666], [0.833, 0.749, 0.334], [0.500, 0.251, 0.000], [0.500, 0.749, 0.000], [0.667, 0.500, 0.666], [0.333, 0.500, 0.334], [0.670, 0.000, 0.660], [0.000, 0.500, 0.000], [0.330, 0.000, 0.340], [0.000, 0.000, 0.000]]
}

=====

Record 3
{
  "formula": "IrRu2Rh4",
  "functional": "PBE",
  "state": "optimized geometry",
  "relative_energy_mev_per_atom": 0.0,
  "vol_a3_per_cell": 99.2,
  "lattice": [[-2.580, 0.041, -0.862], [-1.982, -0.967, 1.593], [-3.375, 13.734, 6.461]],
  "species": ["Rh", "Rh", "Rh", "Rh", "Ir", "Ru", "Ru"],
  "fractional_positions": [[0.619, 0.619, 0.143], [0.381, 0.381, 0.857], [0.097, 0.097, 0.709], [0.903, 0.903, 0.291], [0.000, 0.000, 0.000], [0.189, 0.189, 0.432], [0.811, 0.811, 0.568]]
}

=====

Record 4
{
  "formula": "Ir6Ru5Rh",
  "functional": "PBE",
  "state": "optimized geometry",
  "relative_energy_mev_per_atom": 15.5,
  "vol_a3_per_cell": 170.9,
  "lattice": [[4.712, -0.048, 0.000], [1.652, 8.873, 0.000], [0.826, 4.437, 4.080]],
  "species": ["Ru", "Ru", "Ru", "Ru", "Ru", "Rh", "Ir", "Ir", "Ir", "Ir", "Ir", "Ir"],
  "fractional_positions": [[0.500, 0.500, 0.000], [0.000, 0.665, 0.670], [0.000, 0.335, 0.330], [0.500, 0.170, 0.660], [0.500, 0.830, 0.340], [0.000, 0.000, 0.000], [0.251, 0.251, 0.000], [0.749, 0.083, 0.336], [0.749, 0.419, 0.664], [0.251, 0.917, 0.664], [0.251, 0.581, 0.336], [0.749, 0.749, 0.000]]
}

=====

Record 5
{
  "formula": "Ir2RuRh2",
  "functional": "PBE",
  "state": "optimized geometry",
  "relative_energy_mev_per_atom": 455.6,
  "vol_a3_per_cell": 155.0,
  "lattice": [[-0.759, 0.385, 3.441], [-3.019, -5.883, -0.008], [5.710, -2.932, 1.587]],
  "species": ["Ir", "Ir", "Ir", "Ir", "Rh", "Rh", "Rh", "Rh", "Ru", "Ru"],
  "fractional_positions": [[0.000, 0.632, 0.868], [0.000, 0.132, 0.632], [0.000, 0.868, 0.368], [0.000, 0.368, 0.132], [0.500, 0.666, 0.166], [0.500, 0.334, 0.834], [0.500, 0.834, 0.666], [0.500, 0.166, 0.334], [0.000, 0.000, 0.000], [0.000, 0.500, 0.500]]
}

=====

Record 6
{
  "formula": "Ir6RuRh8",
  "functional": "PBE",
  "state": "optimized geometry",
  "vol_a3_per_cell": 232.4,
  "total_energy_ev_per_atom": -7.752,
  "lattice": [[-2.201, -0.624, -1.459], [4.835, -7.719, -3.992], [-5.217, -1.196, 8.382]],
  "species": ["Ir", "Ir", "Ir", "Ir", "Ir", "Ir", "Rh", "Rh", "Rh", "Rh", "Rh", "Rh", "Rh", "Rh", "Ru"],
  "fractional_positions": [[0.751, 0.533, 0.622], [0.249, 0.467, 0.378], [0.751, 0.089, 0.467], [0.249, 0.911, 0.533], [0.249, 0.622, 0.089], [0.751, 0.378, 0.911], [0.248, 0.922, 0.204], [0.752, 0.078, 0.796], [0.243, 0.333, 0.667], [0.248, 0.282, 0.078], [0.248, 0.796, 0.718], [0.752, 0.204, 0.282], [0.752, 0.718, 0.922], [0.757, 0.667, 0.333], [0.500, 0.000, 0.000]]
}

=====

Record 7
{
  "formula": "Ir4Ru2Rh",
  "functional": "PBE",
  "state": "optimized geometry",
  "relative_energy_mev_per_atom": 217.8,
  "vol_a3_per_cell": 222.5,
  "lattice": [[3.954, 0.000, 0.000], [0.000, 7.501, 0.000], [0.000, 0.000, 7.501]],
  "species": ["Ir", "Ir", "Ir", "Ir", "Ir", "Ir", "Ir", "Ir", "Ru", "Ru", "Ru", "Ru", "Rh", "Rh"],
  "fractional_positions": [[0.000, 0.113, 0.361], [0.500, 0.613, 0.139], [0.000, 0.361, 0.113], [0.500, 0.139, 0.613], [0.000, 0.639, 0.887], [0.000, 0.887, 0.639], [0.500, 0.861, 0.387], [0.500, 0.387, 0.861], [0.000, 0.826, 0.174], [0.500, 0.674, 0.674], [0.500, 0.326, 0.326], [0.000, 0.174, 0.826], [0.500, 0.000, 0.000], [0.000, 0.500, 0.500]]
}

=====

Record 8
{
  "formula": "Ir2RuRh",
  "functional": "PBE",
  "state": "optimized geometry",
  "relative_energy_mev_per_atom": 717.7,
  "vol_a3_per_cell": 67.7,
  "lattice": [[-2.245, 0.896, 2.975], [-1.324, -2.763, 2.303], [3.114, -0.108, 4.851]],
  "species": ["Rh", "Ru", "Ir", "Ir"],
  "fractional_positions": [[0.667, 0.667, 0.998], [0.504, 0.504, 0.489], [0.084, 0.084, 0.748], [0.245, 0.245, 0.265]]
}

=====

Record 9
{
  "formula": "Ir8Ru3Rh",
  "functional": "PBE",
  "state": "optimized geometry",
  "vol_a3_per_cell": 287.8,
  "total_energy_ev_per_atom": -7.541,
  "lattice": [[-4.981, -4.195, 3.995], [7.357, -1.763, -1.067], [3.094, 6.571, 2.370]],
  "species": ["Ru", "Ru", "Ru", "Ir", "Ir", "Ir", "Ir", "Ir", "Ir", "Ir", "Ir", "Rh"],
  "fractional_positions": [[0.500, 0.250, 0.750], [0.500, 0.750, 0.250], [0.000, 0.500, 0.500], [0.000, 0.460, 0.192], [0.000, 0.689, 0.954], [0.265, 0.311, 0.311], [0.000, 0.192, 0.460], [0.268, 0.808, 0.808], [0.000, 0.954, 0.689], [0.732, 0.540, 0.540], [0.735, 0.046, 0.046], [0.000, 0.000, 0.000]]
}

=====

Record 10
{
  "formula": "Ir2Ru5Rh4",
  "functional": "PBE",
  "state": "optimized geometry",
  "vol_a3_per_cell": 180.2,
  "total_energy_ev_per_atom": -7.772,
  "lattice": [[4.723, 0.000, 1.686], [2.362, 3.966, 0.843], [-0.685, 0.000, 9.377]],
  "species": ["Rh", "Rh", "Rh", "Rh", "Ru", "Ru", "Ru", "Ru", "Ru", "Ir", "Ir"],
  "fractional_positions": [[0.541, 0.662, 0.257], [0.459, 0.338, 0.743], [0.798, 0.662, 0.743], [0.202, 0.338, 0.257], [0.500, 0.000, 0.000], [0.250, 0.500, 0.500], [0.750, 0.500, 0.500], [0.000, 0.500, 0.000], [0.500, 0.500, 0.000], [0.823, 0.000, 0.355], [0.177, 0.000, 0.645]]
}

=====

Record 11
{
  "formula": "IrRu4Rh3",
  "functional": "PBE",
  "state": "optimized geometry",
  "vol_a3_per_cell": 327.8,
  "total_energy_ev_per_atom": -7.395,
  "lattice": [[-1.197, 2.653, -5.577], [-5.854, -3.250, -0.290], [-3.483, 5.956, 3.581]],
  "species": ["Rh", "Rh", "Rh", "Rh", "Rh", "Rh", "Ir", "Ir", "Ru", "Ru", "Ru", "Ru", "Ru", "Ru", "Ru", "Ru"],
  "fractional_positions": [[0.041, 0.162, 0.500], [0.481, 0.306, 0.738], [0.481, 0.306, 0.262], [0.981, 0.694, 0.238], [0.541, 0.838, 0.000], [0.981, 0.694, 0.762], [0.509, 0.830, 0.500], [0.009, 0.170, 0.000], [0.631, 0.182, 0.000], [0.605, 0.642, 0.747], [0.605, 0.642, 0.253], [0.131, 0.818, 0.500], [0.105, 0.358, 0.247], [0.105, 0.358, 0.753], [0.661, 0.152, 0.500], [0.161, 0.848, 0.000]]
}

=====

Record 12
{
  "formula": "IrRu3Rh",
  "functional": "PBE",
  "state": "optimized geometry",
  "relative_energy_mev_per_atom": 565.7,
  "vol_a3_per_cell": 156.3,
  "lattice": [[5.981, 1.597, -0.183], [-1.467, 6.014, 0.183], [-3.378, -3.141, 4.133]],
  "species": ["Rh", "Rh", "Ru", "Ru", "Ru", "Ru", "Ru", "Ru", "Ir", "Ir"],
  "fractional_positions": [[0.988, 0.738, 0.750], [0.012, 0.262, 0.250], [0.706, 0.956, 0.250], [0.500, 0.328, 0.328], [0.000, 0.328, 0.828], [0.000, 0.672, 0.172], [0.294, 0.044, 0.750], [0.500, 0.672, 0.672], [0.500, 0.000, 0.500], [0.500, 0.500, 0.000]]
}

=====

Record 13
{
  "formula": "IrRu3Rh",
  "functional": "PBE",
  "state": "optimized geometry",
  "relative_energy_mev_per_atom": 0.0,
  "vol_a3_per_cell": 140.9,
  "lattice": [[-0.096, -2.662, 2.765], [5.409, -0.103, 0.089], [1.428, 6.190, 3.344]],
  "species": ["Ru", "Ru", "Ru", "Ru", "Ru", "Ru", "Rh", "Rh", "Ir", "Ir"],
  "fractional_positions": [[0.900, 0.551, 0.800], [0.703, 0.648, 0.406], [0.299, 0.849, 0.599], [0.100, 0.449, 0.200], [0.701, 0.151, 0.401], [0.297, 0.352, 0.594], [0.898, 0.051, 0.796], [0.102, 0.949, 0.204], [0.500, 0.253, 0.001], [0.500, 0.747, 0.999]]
}

=====

Record 14
{
  "formula": "Ir2RuRh",
  "functional": "PBE",
  "state": "optimized geometry",
  "relative_energy_mev_per_atom": 3.2,
  "vol_a3_per_cell": 57.1,
  "lattice": [[-0.372, 1.695, -2.105], [-3.559, 0.769, 1.249], [1.934, 4.119, 2.976]],
  "species": ["Ru", "Rh", "Ir", "Ir"],
  "fractional_positions": [[0.500, 0.500, 0.750], [0.500, 0.500, 0.250], [0.000, 0.000, 0.504], [0.000, 0.000, 0.996]]
}

=====

Record 15
{
  "formula": "IrRuRh5",
  "functional": "PBE",
  "state": "optimized geometry",
  "vol_a3_per_cell": 198.3,
  "total_energy_ev_per_atom": -7.842,
  "lattice": [[4.603, -0.224, -0.956], [-0.775, 4.541, -0.946], [-0.401, -0.486, 9.774]],
  "species": ["Rh", "Rh", "Rh", "Rh", "Rh", "Rh", "Rh", "Rh", "Rh", "Rh", "Ru", "Ru", "Ir", "Ir"],
  "fractional_positions": [[0.319, 0.965, 0.070], [0.182, 0.966, 0.786], [0.603, 0.963, 0.643], [0.890, 0.963, 0.214], [0.960, 0.464, 0.857], [0.468, 0.966, 0.358], [0.247, 0.462, 0.429], [0.826, 0.465, 0.571], [0.539, 0.466, 0.000], [0.107, 0.461, 0.143], [0.750, 0.963, 0.928], [0.035, 0.962, 0.500], [0.679, 0.468, 0.287], [0.394, 0.465, 0.715]]
}

=====

Record 16
{
  "formula": "Ir7Ru4Rh",
  "functional": "PBE",
  "state": "optimized geometry",
  "relative_energy_mev_per_atom": 0.0,
  "vol_a3_per_cell": 171.4,
  "lattice": [[-0.991, 3.434, -4.110], [-4.375, -1.716, -0.373], [-5.110, 6.292, 1.078]],
  "species": ["Ru", "Ru", "Ru", "Ru", "Ir", "Ir", "Ir", "Ir", "Ir", "Ir", "Ir", "Rh"],
  "fractional_positions": [[0.250, 0.166, 0.334], [0.496, 0.664, 0.336], [0.504, 0.336, 0.664], [0.750, 0.834, 0.666], [0.748, 0.501, 0.000], [0.003, 0.335, 0.662], [0.500, 0.000, 0.000], [0.253, 0.833, 0.664], [0.997, 0.665, 0.338], [0.747, 0.167, 0.336], [0.252, 0.499, 0.000], [0.000, 0.000, 0.000]]
}

=====

Record 17
{
  "formula": "Ir5RuRh4",
  "functional": "PBE",
  "state": "optimized geometry",
  "vol_a3_per_cell": 143.1,
  "total_energy_ev_per_atom": -8.317,
  "lattice": [[-1.498, -0.207, -2.267], [2.264, -0.408, -1.459], [-1.617, -19.010, 2.801]],
  "species": ["Ir", "Ir", "Ir", "Ir", "Ir", "Rh", "Rh", "Rh", "Rh", "Ru"],
  "fractional_positions": [[0.500, 0.500, 0.902], [0.500, 0.500, 0.300], [0.500, 0.500, 0.700], [0.500, 0.500, 0.098], [0.500, 0.500, 0.500], [0.000, 0.000, 0.400], [0.000, 0.000, 0.200], [0.000, 0.000, 0.600], [0.000, 0.000, 0.800], [0.000, 0.000, 0.000]]
}

=====

Record 18
{
  "formula": "Ir2RuRh",
  "functional": "PBE",
  "state": "optimized geometry",
  "relative_energy_mev_per_atom": 357.3,
  "vol_a3_per_cell": 59.0,
  "lattice": [[3.311, 0.000, 0.000], [0.000, 3.311, 0.000], [0.000, 0.000, 5.388]],
  "species": ["Ir", "Ir", "Ru", "Rh"],
  "fractional_positions": [[0.000, 0.000, 0.501], [0.000, 0.000, 0.999], [0.500, 0.500, 0.750], [0.500, 0.500, 0.250]]
}

=====

Record 19
{
  "formula": "Ir3Ru4Rh2",
  "functional": "PBE",
  "state": "optimized geometry",
  "vol_a3_per_cell": 261.9,
  "total_energy_ev_per_atom": -8.587,
  "lattice": [[-2.403, -5.265, 4.223], [5.675, -1.206, 1.741], [-1.062, 4.012, 4.413]],
  "species": ["Rh", "Rh", "Rh", "Rh", "Ru", "Ru", "Ru", "Ru", "Ru", "Ru", "Ru", "Ru", "Ir", "Ir", "Ir", "Ir", "Ir", "Ir"],
  "fractional_positions": [[0.571, 0.800, 0.529], [0.929, 0.471, 0.200], [0.429, 0.200, 0.471], [0.071, 0.529, 0.800], [0.937, 0.807, 0.529], [0.567, 0.139, 0.866], [0.433, 0.861, 0.134], [0.067, 0.866, 0.139], [0.063, 0.193, 0.471], [0.437, 0.529, 0.807], [0.563, 0.471, 0.193], [0.933, 0.134, 0.861], [0.750, 0.411, 0.589], [0.250, 0.589, 0.411], [0.249, 0.924, 0.747], [0.749, 0.747, 0.924], [0.251, 0.253, 0.076], [0.751, 0.076, 0.253]]
}

=====

Record 20
{
  "formula": "Ir3RuRh6",
  "functional": "PBE",
  "state": "optimized geometry",
  "vol_a3_per_cell": 151.9,
  "total_energy_ev_per_atom": -7.584,
  "lattice": [[5.023, 0.000, 0.000], [-2.511, 4.350, 0.000], [0.000, 0.000, 6.954]],
  "species": ["Ir", "Ir", "Ir", "Ru", "Rh", "Rh", "Rh", "Rh", "Rh", "Rh"],
  "fractional_positions": [[0.667, 0.333, 0.500], [0.000, 0.000, 0.500], [0.333, 0.667, 0.500], [0.000, 0.000, 0.000], [0.000, 0.590, 0.193], [0.410, 0.000, 0.807], [0.590, 0.590, 0.807], [0.410, 0.410, 0.193], [0.000, 0.410, 0.807], [0.590, 0.000, 0.193]]
}